The following is a DFT calculation (GGA-PBE) of a geometry-optimized Zr3RuSe structure.

POSCAR file:
```
Zr3RuSe
1.0
4.892 0.000 0.000
0.000 4.892 0.000
0.000 0.000 4.892
Zr Ru Se
3 1 1
Cartesian
0.000 0.000 2.446
0.000 2.446 0.000
2.446 0.000 0.000
2.446 2.446 2.446
0.000 0.000 0.000
```

## Properties
The calculation puts the energy relative to the lowest polymorph listed for this composition at 164 meV per atom. The total energy is -7.373 eV/atom. Its formation energy from raw total energies is 149 kJ/mol of formula units.



The following is a DFT calculation (GGA-PBE) of a geometry-optimized RbNdTm4Se8 structure.

POSCAR file:
```
RbNdTm4Se8
1.0
4.257 2.458 7.189
-4.257 2.458 7.189
0.000 -4.916 7.189
Rb Nd Tm Se
1 1 4 8
Cartesian
0.000 0.000 0.000
0.000 0.000 7.802
0.000 -2.540 11.564
-2.200 1.270 11.564
0.000 0.000 16.003
2.200 1.270 11.564
0.000 -2.172 5.907
-1.881 1.086 5.907
-2.039 -1.177 9.823
0.000 0.000 2.988
1.881 1.086 5.907
0.000 0.000 13.173
2.039 -1.177 9.823
0.000 2.354 9.823
```

## Properties
The total energy is -5.373 eV/atom. Its formation energy from raw total energies is -2289 kJ/mol of formula units.



The following is a DFT calculation (GGA-PBE) of a geometry-optimized Mg8Zn2Ag structure.

POSCAR file:
```
Mg8Zn2Ag
1.0
7.997 -2.311 0.000
7.997 2.311 0.000
-2.513 0.000 6.126
Mg Zn Ag
8 2 1
Cartesian
-0.313 0.000 1.655
1.092 0.000 4.716
3.921 0.000 3.441
6.262 0.000 0.311
7.219 0.000 5.815
9.560 0.000 2.685
12.389 0.000 1.410
13.794 0.000 4.471
2.444 0.000 1.117
11.037 0.000 5.009
6.741 0.000 3.063
```

## Properties
The total energy is -1.716 eV/atom. For the formation enthalpy at 0 K, the calculation gives -0.0650 eV per atom.



The following is a DFT calculation (GGA-PBE) of a geometry-optimized MgNbH structure.

POSCAR file:
```
MgNbH
1.0
2.961 0.000 0.000
0.009 5.124 0.000
0.337 0.011 5.515
Mg Nb H
2 2 2
Cartesian
0.000 0.000 0.000
1.623 4.964 2.800
0.201 2.499 1.736
1.873 2.522 4.531
1.689 1.802 2.750
1.671 3.380 0.777
```

## Properties
The calculation puts the energy relative to the lowest polymorph listed for this composition at 94 meV per atom. The total energy is -5.010 eV/atom.



The following is a DFT calculation (GGA-PBE) of a geometry-optimized BeNb2F structure.

POSCAR file:
```
BeNb2F
1.0
-1.942 1.942 8.179
1.942 -1.942 8.179
1.942 1.942 -8.179
Be Nb F
2 4 2
Cartesian
0.000 0.000 0.000
0.000 1.942 4.090
2.913 0.955 -2.045
0.955 0.971 2.045
-0.971 0.988 6.135
0.988 0.971 10.224
1.942 0.000 4.090
0.000 0.000 8.179
```

## Properties
The calculation puts the energy relative to the lowest polymorph listed for this composition at 301 meV per atom. The total energy is -6.284 eV/atom. Its formation energy from raw total energies is 58 kJ/mol of formula units.



The following is a DFT calculation (GGA-PBE) of a geometry-optimized BaTlMo structure.

POSCAR file:
```
BaTlMo
1.0
4.891 0.000 0.000
-2.446 4.236 0.000
0.000 0.000 4.820
Ba Tl Mo
1 1 1
Cartesian
0.000 0.000 0.000
0.000 2.824 2.410
2.446 1.412 2.410
```

## Properties
The calculation puts the energy relative to the lowest polymorph listed for this composition at 0 meV per atom. The total energy is -4.290 eV/atom. For the formation enthalpy at 0 K, the calculation gives 0.7497 eV per atom.



Repeat the fourth record exactly.
The following is a DFT calculation (GGA-PBE) of a geometry-optimized MgNbH structure.

POSCAR file:
```
MgNbH
1.0
2.961 0.000 0.000
0.009 5.124 0.000
0.337 0.011 5.515
Mg Nb H
2 2 2
Cartesian
0.000 0.000 0.000
1.623 4.964 2.800
0.201 2.499 1.736
1.873 2.522 4.531
1.689 1.802 2.750
1.671 3.380 0.777
```

## Properties
The calculation puts the energy relative to the lowest polymorph listed for this composition at 94 meV per atom. The total energy is -5.010 eV/atom.